{
  "formula": "Li2DyGeS4",
  "functional": "GGA-PBE",
  "state": "optimized geometry",
  "cell": [[3.765, 0.000, 0.000], [0.000, 6.609, 0.116], [0.000, -2.302, 6.087]],
  "species": ["Dy", "Ge", "S", "S", "Li", "S", "S", "Li"],
  "frac_coords": [[0.500, 0.500, 0.000], [0.000, 0.000, 0.000], [0.500, 0.763, 0.755], [0.000, 0.235, 0.752], [0.500, 0.000, 0.500], [0.500, 0.237, 0.245], [0.000, 0.765, 0.248], [0.000, 0.500, 0.500]],
  "vol_a3_per_cell": 152.5,
  "magnetic_moment_mub_per_cell": 0.00,
  "dos_at_fermi_per_ev_atom": 0.21,
  "total_energy_ev_per_cell": -39.2
}

=====

{
  "formula": "LiDyGeS4",
  "functional": "GGA-PBE",
  "state": "optimized geometry",
  "cell": [[7.424, 0.000, 0.000], [3.712, 6.546, -0.027], [3.712, 1.968, 6.243]],
  "species": ["S", "Dy", "S", "S", "S", "Li", "Ge", "Ge", "S", "S", "Dy", "S", "S", "Li"],
  "frac_coords": [[0.255, 0.753, 0.253], [0.000, 0.500, 0.500], [0.258, 0.740, 0.745], [0.261, 0.247, 0.747], [0.258, 0.245, 0.240], [0.500, 0.000, 0.500], [0.365, 0.385, 0.885], [0.635, 0.615, 0.115], [0.742, 0.755, 0.760], [0.745, 0.247, 0.747], [0.000, 0.000, 0.000], [0.742, 0.260, 0.255], [0.739, 0.753, 0.253], [0.000, 0.000, 0.500]],
  "vol_a3_per_cell": 303.8,
  "magnetic_moment_mub_per_cell": 0.00,
  "dos_at_fermi_per_ev_atom": 0.10,
  "total_energy_ev_per_cell": -70.4
}

=====

{
  "formula": "Li3Dy3GeS8",
  "functional": "GGA-PBE",
  "state": "optimized geometry",
  "cell": [[7.725, 0.000, 0.000], [-3.863, 6.690, -0.024], [0.000, -4.441, 6.151]],
  "species": ["S", "S", "Dy", "S", "Li", "S", "Dy", "S", "Ge", "S", "S", "Dy", "Li", "Li", "S"],
  "frac_coords": [[0.229, 0.458, 0.736], [0.222, 0.993, 0.264], [0.500, 0.500, 0.500], [0.750, 0.500, 0.749], [0.000, 0.500, 0.000], [0.771, 0.542, 0.264], [0.500, 0.000, 0.500], [0.229, 0.007, 0.736], [0.000, 0.000, 0.500], [0.771, 0.993, 0.264], [0.778, 0.007, 0.736], [0.000, 0.500, 0.500], [0.000, 0.000, 0.000], [0.500, 0.500, 0.000], [0.250, 0.500, 0.251]],
  "vol_a3_per_cell": 317.1,
  "magnetic_moment_mub_per_cell": 0.00,
  "dos_at_fermi_per_ev_atom": 0.08,
  "total_energy_ev_per_cell": -79.4
}

=====

{
  "formula": "LiDyScGe",
  "functional": "GGA-PBE",
  "state": "optimized geometry",
  "cell": [[4.863, 0.000, 0.000], [2.432, 4.212, 0.000], [2.432, 1.404, 3.971]],
  "species": ["Dy", "Li", "Sc", "Ge"],
  "frac_coords": [[0.000, 0.000, 0.000], [0.750, 0.750, 0.750], [0.500, 0.500, 0.500], [0.250, 0.250, 0.250]],
  "vol_a3_per_cell": 81.3,
  "magnetic_moment_mub_per_cell": 0.00,
  "dos_at_fermi_per_ev_atom": 0.59,
  "total_energy_ev_per_cell": -19.2
}

=====

{
  "formula": "Li2DyGeSe4",
  "functional": "GGA-PBE",
  "state": "optimized geometry",
  "cell": [[3.936, 0.000, 0.000], [0.000, 6.918, 0.126], [0.000, -2.404, 6.396]],
  "species": ["Li", "Ge", "Dy", "Se", "Se", "Li", "Se", "Se"],
  "frac_coords": [[0.500, 0.000, 0.500], [0.000, 0.000, 0.000], [0.500, 0.500, 0.000], [0.000, 0.763, 0.251], [0.500, 0.762, 0.753], [0.000, 0.500, 0.500], [0.000, 0.237, 0.749], [0.500, 0.238, 0.247]],
  "vol_a3_per_cell": 175.4,
  "magnetic_moment_mub_per_cell": 0.00,
  "dos_at_fermi_per_ev_atom": 0.20,
  "total_energy_ev_per_cell": -35.8
}

=====

{
  "formula": "LiDyGeSe3",
  "functional": "GGA-PBE",
  "state": "optimized geometry",
  "cell": [[3.918, 0.000, 0.000], [0.000, 8.371, 0.221], [0.000, -1.980, 8.769]],
  "species": ["Se", "Se", "Ge", "Se", "Li", "Ge", "Se", "Se", "Se", "Li", "Dy", "Dy"],
  "frac_coords": [[0.750, 0.411, 0.149], [0.750, 0.211, 0.463], [0.750, 0.335, 0.858], [0.750, 0.901, 0.119], [0.750, 0.895, 0.407], [0.250, 0.665, 0.142], [0.250, 0.789, 0.537], [0.250, 0.589, 0.851], [0.250, 0.099, 0.881], [0.250, 0.105, 0.593], [0.750, 0.826, 0.777], [0.250, 0.174, 0.223]],
  "vol_a3_per_cell": 289.3,
  "magnetic_moment_mub_per_cell": 0.00,
  "dos_at_fermi_per_ev_atom": 0.00,
  "total_energy_ev_per_cell": -56.5
}

=====

{
  "formula": "LiDyGe2Se4",
  "functional": "GGA-PBE",
  "state": "optimized geometry",
  "cell": [[4.044, 0.000, 0.000], [0.000, 6.904, 0.134], [0.000, -2.402, 6.628]],
  "species": ["Li", "Ge", "Dy", "Ge", "Se", "Se", "Se", "Se"],
  "frac_coords": [[0.000, 0.000, 0.000], [0.500, 0.000, 0.500], [0.500, 0.500, 0.000], [0.000, 0.500, 0.500], [0.500, 0.250, 0.250], [0.000, 0.752, 0.250], [0.000, 0.248, 0.750], [0.500, 0.750, 0.750]],
  "vol_a3_per_cell": 186.4,
  "magnetic_moment_mub_per_cell": 0.00,
  "total_energy_ev_per_cell": -36.9
}

=====

{
  "formula": "LiSmDyGe",
  "functional": "GGA-PBE",
  "state": "optimized geometry",
  "cell": [[5.071, 0.000, 0.000], [2.536, 4.392, 0.000], [2.536, 1.464, 4.141]],
  "species": ["Dy", "Li", "Sm", "Ge"],
  "frac_coords": [[0.000, 0.000, 0.000], [0.250, 0.250, 0.250], [0.500, 0.500, 0.500], [0.750, 0.750, 0.750]],
  "vol_a3_per_cell": 92.2,
  "magnetic_moment_mub_per_cell": 0.00,
  "dos_at_fermi_per_ev_atom": 0.57,
  "total_energy_ev_per_cell": -17.5
}

=====

{
  "formula": "Li2Sm2DyGe2",
  "functional": "GGA-PBE",
  "state": "optimized geometry",
  "cell": [[4.438, 0.000, 0.000], [2.219, 3.843, 0.000], [2.219, 1.281, 9.421]],
  "species": ["Li", "Sm", "Ge", "Dy", "Ge", "Li", "Sm"],
  "frac_coords": [[0.392, 0.392, 0.825], [0.124, 0.124, 0.628], [0.270, 0.270, 0.191], [0.000, 0.000, 0.000], [0.730, 0.730, 0.809], [0.608, 0.608, 0.175], [0.876, 0.876, 0.372]],
  "vol_a3_per_cell": 160.7,
  "magnetic_moment_mub_per_cell": 0.00,
  "dos_at_fermi_per_ev_atom": 0.40,
  "total_energy_ev_per_cell": -30.5
}

=====

{
  "formula": "SrLiDyGe",
  "functional": "GGA-PBE",
  "state": "optimized geometry",
  "cell": [[5.262, 0.000, 0.000], [2.631, 4.557, 0.000], [2.631, 1.519, 4.296]],
  "species": ["Ge", "Dy", "Sr", "Li"],
  "frac_coords": [[0.250, 0.250, 0.250], [0.000, 0.000, 0.000], [0.500, 0.500, 0.500], [0.750, 0.750, 0.750]],
  "vol_a3_per_cell": 103.0,
  "magnetic_moment_mub_per_cell": 0.00,
  "dos_at_fermi_per_ev_atom": 0.56,
  "total_energy_ev_per_cell": -13.9
}

=====

{
  "formula": "SrLi2DyGe2",
  "functional": "GGA-PBE",
  "state": "optimized geometry",
  "cell": [[-0.214, -4.538, -0.304], [3.069, 2.303, -2.450], [5.022, -0.620, 5.709]],
  "species": ["Sr", "Li", "Dy", "Li", "Ge", "Ge"],
  "frac_coords": [[0.000, 0.000, 0.000], [0.333, 0.667, 0.699], [0.000, 0.000, 0.500], [0.667, 0.333, 0.301], [0.333, 0.667, 0.293], [0.667, 0.333, 0.707]],
  "vol_a3_per_cell": 137.0,
  "magnetic_moment_mub_per_cell": 0.00,
  "dos_at_fermi_per_ev_atom": 0.39,
  "total_energy_ev_per_cell": -22.8
}

=====

{
  "formula": "Li2TbDy2Ge2",
  "functional": "GGA-PBE",
  "state": "optimized geometry",
  "cell": [[-2.308, 1.791, -3.349], [-2.290, -2.615, -2.769], [-8.770, 0.399, 3.309]],
  "species": ["Dy", "Ge", "Ge", "Li", "Dy", "Tb", "Li"],
  "frac_coords": [[0.126, 0.126, 0.622], [0.265, 0.265, 0.205], [0.735, 0.735, 0.795], [0.398, 0.398, 0.807], [0.874, 0.874, 0.378], [0.000, 0.000, 0.000], [0.602, 0.602, 0.193]],
  "vol_a3_per_cell": 154.4,
  "magnetic_moment_mub_per_cell": 0.00,
  "dos_at_fermi_per_ev_atom": 0.37,
  "total_energy_ev_per_cell": -30.3
}

=====

{
  "formula": "LiDyGeTe3",
  "functional": "GGA-PBE",
  "state": "optimized geometry",
  "cell": [[-2.094, -2.861, -2.233], [0.772, -5.726, 6.612], [-8.204, 4.517, 1.905]],
  "species": ["Te", "Li", "Te", "Ge", "Li", "Dy", "Te", "Te", "Dy", "Te", "Te", "Ge"],
  "frac_coords": [[0.750, 0.421, 0.155], [0.750, 0.905, 0.408], [0.750, 0.906, 0.116], [0.750, 0.332, 0.851], [0.250, 0.095, 0.592], [0.250, 0.182, 0.233], [0.250, 0.579, 0.845], [0.250, 0.766, 0.517], [0.750, 0.818, 0.767], [0.750, 0.234, 0.483], [0.250, 0.094, 0.884], [0.250, 0.668, 0.149]],
  "vol_a3_per_cell": 341.8,
  "magnetic_moment_mub_per_cell": 0.00,
  "total_energy_ev_per_cell": -50.8
}

=====

{
  "formula": "Li2DyGeTe4",
  "functional": "GGA-PBE",
  "state": "optimized geometry",
  "cell": [[4.167, 0.000, 0.000], [0.000, 7.518, 0.196], [0.000, -2.554, 6.899]],
  "species": ["Te", "Te", "Te", "Li", "Ge", "Li", "Dy", "Te"],
  "frac_coords": [[0.500, 0.761, 0.752], [0.000, 0.240, 0.745], [0.500, 0.239, 0.248], [0.000, 0.500, 0.500], [0.000, 0.000, 0.000], [0.500, 0.000, 0.500], [0.500, 0.500, 0.000], [0.000, 0.760, 0.255]],
  "vol_a3_per_cell": 218.2,
  "magnetic_moment_mub_per_cell": 0.00,
  "dos_at_fermi_per_ev_atom": 0.55,
  "total_energy_ev_per_cell": -32.0
}

=====

{
  "formula": "LiDyTlGe",
  "functional": "GGA-PBE",
  "state": "optimized geometry",
  "cell": [[5.028, 0.000, 0.000], [2.514, 4.354, 0.000], [2.514, 1.451, 4.105]],
  "species": ["Dy", "Tl", "Li", "Ge"],
  "frac_coords": [[0.000, 0.000, 0.000], [0.750, 0.750, 0.750], [0.500, 0.500, 0.500], [0.250, 0.250, 0.250]],
  "vol_a3_per_cell": 89.9,
  "magnetic_moment_mub_per_cell": 0.00,
  "dos_at_fermi_per_ev_atom": 0.53,
  "total_energy_ev_per_cell": -14.8
}

=====

{
  "formula": "LiDyZnGe",
  "functional": "GGA-PBE",
  "state": "optimized geometry",
  "cell": [[4.789, 0.000, 0.000], [2.394, 4.147, 0.000], [2.394, 1.382, 3.910]],
  "species": ["Li", "Dy", "Ge", "Zn"],
  "frac_coords": [[0.500, 0.500, 0.500], [0.000, 0.000, 0.000], [0.250, 0.250, 0.250], [0.750, 0.750, 0.750]],
  "vol_a3_per_cell": 77.7,
  "magnetic_moment_mub_per_cell": 0.00,
  "dos_at_fermi_per_ev_atom": 0.26,
  "total_energy_ev_per_cell": -14.2
}

=====

{
  "formula": "DyLuNiGe",
  "functional": "GGA-PBE",
  "state": "optimized geometry",
  "cell": [[-3.427, 3.413, 0.562], [-3.353, 0.677, -3.464], [-4.623, -1.301, 0.800]],
  "species": ["Ni", "Lu", "Dy", "Ge"],
  "frac_coords": [[0.750, 0.750, 0.750], [0.500, 0.500, 0.500], [0.000, 0.000, 0.000], [0.250, 0.250, 0.250]],
  "vol_a3_per_cell": 81.6,
  "magnetic_moment_mub_per_cell": 0.00,
  "dos_at_fermi_per_ev_atom": 0.30,
  "total_energy_ev_per_cell": -21.7
}

=====

{
  "formula": "DyLuGePd",
  "functional": "GGA-PBE",
  "state": "optimized geometry",
  "cell": [[4.962, 0.000, 0.000], [2.481, 4.297, 0.000], [2.481, 1.432, 4.051]],
  "species": ["Lu", "Ge", "Dy", "Pd"],
  "frac_coords": [[0.000, 0.000, 0.000], [0.250, 0.250, 0.250], [0.500, 0.500, 0.500], [0.750, 0.750, 0.750]],
  "vol_a3_per_cell": 86.4,
  "magnetic_moment_mub_per_cell": 0.00,
  "dos_at_fermi_per_ev_atom": 0.34,
  "total_energy_ev_per_cell": -22.2
}

=====

{
  "formula": "DyLuGePt",
  "functional": "GGA-PBE",
  "state": "optimized geometry",
  "cell": [[-2.594, -3.113, -2.858], [1.889, -4.426, -1.195], [-1.932, -4.129, 1.950]],
  "species": ["Ge", "Dy", "Lu", "Pt"],
  "frac_coords": [[0.250, 0.250, 0.250], [0.000, 0.000, 0.000], [0.500, 0.500, 0.500], [0.750, 0.750, 0.750]],
  "vol_a3_per_cell": 86.2,
  "magnetic_moment_mub_per_cell": 0.00,
  "dos_at_fermi_per_ev_atom": 0.26,
  "total_energy_ev_per_cell": -23.6
}

=====

{
  "formula": "DyLuGeRh",
  "functional": "GGA-PBE",
  "state": "optimized geometry",
  "cell": [[4.897, 0.000, 0.000], [2.449, 4.241, 0.000], [2.449, 1.414, 3.999]],
  "species": ["Dy", "Ge", "Rh", "Lu"],
  "frac_coords": [[0.000, 0.000, 0.000], [0.250, 0.250, 0.250], [0.750, 0.750, 0.750], [0.500, 0.500, 0.500]],
  "vol_a3_per_cell": 83.1,
  "magnetic_moment_mub_per_cell": 0.00,
  "dos_at_fermi_per_ev_atom": 0.53,
  "total_energy_ev_per_cell": -24.1
}